DFT (GGA-PBE) results for a relaxed Ba2HoErO5 crystal.

Output
ρ = 7.0 g cm⁻³
Formation energy (no corrections) = -3.0704 eV/atom

Lattice parameters (Å, degrees): 7.393 7.393 12.377 90.00 90.00 151.23
Atoms (fractional coordinates):
1 Ba 0.089 0.911 0.500
2 Ba 0.152 0.848 0.121
3 Ba 0.848 0.152 0.621
4 Ba 0.911 0.089 0.000
5 Ho 0.224 0.776 0.850
6 Ho 0.776 0.224 0.350
7 Er 0.468 0.532 0.279
8 Er 0.532 0.468 0.779
9 O 0.062 0.938 0.862
10 O 0.270 0.730 0.474
11 O 0.309 0.691 0.242
12 O 0.379 0.621 0.827
13 O 0.492 0.508 0.613
14 O 0.508 0.492 0.113
15 O 0.621 0.379 0.327
16 O 0.691 0.309 0.742
17 O 0.730 0.270 0.974
18 O 0.938 0.062 0.362

---

DFT (GGA-PBE) results for a relaxed Nb4As2P crystal.

Output
Energy relative to the elements = -0.568 eV per atom
ρ = 7.3 g cm⁻³

Lattice parameters (Å, degrees): 6.592 10.710 3.572 90.00 90.00 90.00
Atoms (fractional coordinates):
1 Nb 0.118 0.210 0.000
2 Nb 0.228 0.939 0.500
3 Nb 0.272 0.439 0.500
4 Nb 0.382 0.710 0.000
5 Nb 0.618 0.290 0.000
6 Nb 0.728 0.561 0.500
7 Nb 0.772 0.061 0.500
8 Nb 0.882 0.790 0.000
9 As 0.094 0.663 0.500
10 As 0.406 0.163 0.500
11 As 0.594 0.837 0.500
12 As 0.906 0.337 0.500
13 P 0.000 0.000 0.000
14 P 0.500 0.500 0.000

---

DFT (GGA-PBE) results for a relaxed PmPu2In crystal.

Output
Energy relative to the elements = 0.060 eV per atom
ρ = 10.8 g cm⁻³

Lattice parameters (Å, degrees): 4.167 4.167 6.595 90.00 90.00 90.00
Atoms (fractional coordinates):
1 Pm 0.000 0.000 0.000
2 Pu 0.500 0.500 0.270
3 Pu 0.500 0.500 0.730
4 In 0.000 0.000 0.500

---

DFT (GGA-PBE) results for a relaxed KReTe crystal.

Output
ρ = 7.4 g cm⁻³
Formation energy (no corrections) = 0.7729 eV/atom

Lattice parameters (Å, degrees): 3.442 3.442 7.701 90.00 90.00 120.00
Atoms (fractional coordinates):
1 K 0.000 0.000 0.000
2 Re 0.667 0.333 0.372
3 Te 0.333 0.667 0.594

---

DFT (GGA-PBE) results for a relaxed NaTl2PSe4 crystal.

Output
ρ = 5.6 g cm⁻³
Formation energy (no corrections) = -0.4629 eV/atom

Lattice parameters (Å, degrees): 6.664 6.676 6.749 114.85 106.55 106.09
Atoms (fractional coordinates):
1 Na 0.000 0.000 0.000
2 Tl 0.491 0.992 0.504
3 Tl 0.500 0.506 0.999
4 P 0.986 0.490 0.497
5 Se 0.310 0.467 0.474
6 Se 0.669 0.152 0.159
7 Se 0.985 0.834 0.518
8 Se 0.986 0.510 0.837

---

DFT (GGA-PBE) results for a relaxed YErRuPt crystal.

Output
Energy relative to the elements = -0.848 eV per atom
ρ = 11.3 g cm⁻³

Lattice parameters (Å, degrees): 3.462 3.462 6.749 90.00 90.00 90.00
Atoms (fractional coordinates):
1 Y 0.000 0.000 0.000
2 Er 0.000 0.000 0.489
3 Ru 0.500 0.500 0.250
4 Pt 0.500 0.500 0.739

---

DFT (GGA-PBE) results for a relaxed CrFeNi crystal.

Output
Energy relative to the elements = 0.517 eV per atom
ρ = 6.7 g cm⁻³

Lattice parameters (Å, degrees): 5.481 5.481 5.481 90.00 90.00 90.00
Atoms (fractional coordinates):
1 Cr 0.000 0.000 0.000
2 Cr 0.000 0.500 0.500
3 Cr 0.500 0.000 0.500
4 Cr 0.500 0.500 0.000
5 Fe 0.250 0.250 0.750
6 Fe 0.250 0.750 0.250
7 Fe 0.750 0.250 0.250
8 Fe 0.750 0.750 0.750
9 Ni 0.000 0.000 0.500
10 Ni 0.000 0.500 0.000
11 Ni 0.500 0.000 0.000
12 Ni 0.500 0.500 0.500

---

DFT (GGA-PBE) results for a relaxed Ag2Hg crystal.

Output
Energy relative to the elements = 0.066 eV per atom
ρ = 11.7 g cm⁻³

Lattice parameters (Å, degrees): 8.134 8.134 3.082 90.00 90.00 120.00
Atoms (fractional coordinates):
1 Ag 0.000 0.305 0.000
2 Ag 0.000 0.638 0.500
3 Ag 0.305 0.000 0.000
4 Ag 0.362 0.362 0.500
5 Ag 0.638 0.000 0.500
6 Ag 0.695 0.695 0.000
7 Hg 0.000 0.000 0.500
8 Hg 0.333 0.667 0.000
9 Hg 0.667 0.333 0.000

---

DFT (GGA-PBE) results for a relaxed USeCl crystal.

Output
ρ = 8.3 g cm⁻³
Formation energy (no corrections) = -1.0589 eV/atom

Lattice parameters (Å, degrees): 4.654 4.654 3.748 90.00 90.00 120.00
Atoms (fractional coordinates):
1 U 0.000 0.000 0.000
2 Se 0.667 0.333 0.495
3 Cl 0.333 0.667 0.991

---

DFT (GGA-PBE) results for a relaxed CsPm3Se4O12 crystal.

Output
ρ = 4.4 g cm⁻³
Formation energy (no corrections) = -1.5838 eV/atom

Lattice parameters (Å, degrees): 7.840 7.840 7.840 106.96 106.96 106.96
Atoms (fractional coordinates):
1 Cs 0.000 0.000 0.000
2 Pm 0.000 0.567 0.433
3 Pm 0.433 0.000 0.567
4 Pm 0.567 0.433 0.000
5 Se 0.069 0.500 0.931
6 Se 0.500 0.500 0.500
7 Se 0.500 0.931 0.069
8 Se 0.931 0.069 0.500
9 O 0.085 0.623 0.783
10 O 0.117 0.883 0.500
11 O 0.217 0.377 0.915
12 O 0.349 0.651 0.500
13 O 0.377 0.915 0.217
14 O 0.500 0.117 0.883
15 O 0.500 0.349 0.651
16 O 0.623 0.783 0.085
17 O 0.651 0.500 0.349
18 O 0.783 0.085 0.623
19 O 0.883 0.500 0.117
20 O 0.915 0.217 0.377

---

DFT (GGA-PBE) results for a relaxed RbCr3Te crystal.

Output
ρ = 3.4 g cm⁻³
Formation energy (no corrections) = 2.1841 eV/atom

Lattice parameters (Å, degrees): 5.650 5.650 5.650 90.00 90.00 90.00
Atoms (fractional coordinates):
1 Rb 0.000 0.000 0.000
2 Cr 0.000 0.000 0.500
3 Cr 0.000 0.500 0.000
4 Cr 0.500 0.000 0.000
5 Te 0.500 0.500 0.500

---

DFT (GGA-PBE) results for a relaxed SrHoAgIr crystal.

Output
Energy relative to the elements = -0.301 eV per atom
ρ = 9.9 g cm⁻³

Lattice parameters (Å, degrees): 7.192 7.192 7.192 90.00 90.00 90.00
Atoms (fractional coordinates):
1 Sr 0.000 0.000 0.000
2 Sr 0.000 0.500 0.500
3 Sr 0.500 0.000 0.500
4 Sr 0.500 0.500 0.000
5 Ho 0.000 0.000 0.500
6 Ho 0.000 0.500 0.000
7 Ho 0.500 0.000 0.000
8 Ho 0.500 0.500 0.500
9 Ag 0.250 0.250 0.250
10 Ag 0.250 0.750 0.750
11 Ag 0.750 0.250 0.750
12 Ag 0.750 0.750 0.250
13 Ir 0.250 0.250 0.750
14 Ir 0.250 0.750 0.250
15 Ir 0.750 0.250 0.250
16 Ir 0.750 0.750 0.750

---

Q: Among the records above, which one has the lowest ρ?
A: RbCr3Te

---

Q: Among the records above, which one has the lowest ρ?
A: RbCr3Te

---

Repeat the fourth record exactly.
DFT (GGA-PBE) results for a relaxed KReTe crystal.

Output
ρ = 7.4 g cm⁻³
Formation energy (no corrections) = 0.7729 eV/atom

Lattice parameters (Å, degrees): 3.442 3.442 7.701 90.00 90.00 120.00
Atoms (fractional coordinates):
1 K 0.000 0.000 0.000
2 Re 0.667 0.333 0.372
3 Te 0.333 0.667 0.594

---

Q: ρ of number 4 (KReTe)?
A: 7.4 g cm⁻³